Computed, not measured: crystalline RbMnF3 at its relaxed geometry at the PBE+U level of DFT.

Summary:
- Space group: P2_1/c
- Crystal system: monoclinic
- Raw total energy: -5.520 eV/atom
- D(E_F): 0.0 states/eV per cell

a b c (Å): 22.9385 5.7085 7.5266
angles (deg): 90.00 159.82 90.00
With the nearest neighbours (Å) after each atom.
Fractional coordinates of all 20 atoms:
Mn 0.5762 0.7429 0.8117  6 F 2.06-2.27
Mn 0.4238 0.2571 0.1883  6 F 2.06-2.27
Mn 0.9238 0.2429 0.6883  6 F 2.06-2.27
Mn 0.0762 0.7571 0.3117  6 F 2.06-2.27
Rb 0.1779 0.2171 0.9160  5 F 2.73-2.88
Rb 0.8221 0.7829 0.0840  5 F 2.73-2.88
Rb 0.3221 0.7171 0.5840  5 F 2.73-2.88
Rb 0.6779 0.2829 0.4160  5 F 2.73-2.88
F 0.3332 0.9321 0.0542  3 Mn 2.20-2.27
F 0.6668 0.0679 0.9458  3 Mn 2.20-2.27
F 0.1668 0.4321 0.4458  3 Mn 2.20-2.27
F 0.8332 0.5679 0.5542  3 Mn 2.20-2.27
F 0.4456 0.4211 0.5041  2 Mn 2.13-2.17
F 0.5544 0.5789 0.4959  2 Mn 2.13-2.17
F 0.0544 0.9211 0.9959  2 Mn 2.13-2.17
F 0.9456 0.0789 0.0041  2 Mn 2.13-2.17
F 0.5952 0.8064 0.1355  1 Mn 2.06
F 0.4048 0.1936 0.8645  1 Mn 2.06
F 0.9048 0.3064 0.3645  1 Mn 2.06
F 0.0952 0.6936 0.6355  1 Mn 2.06